! Na2Mg3Tl2 PBE-GGA optimized geometry; values from VASP
! Total magnetic moment ... 0.0 μB per formula unit
! Relative energy among the computed polymorphs ... 0 meV/atom
! ΔH_f (0 K) ... -54.0 meV per atom
&SYSTEM
  ibrav = 0, nat = 7, ntyp = 3
/
ATOMIC_SPECIES
Na 22.99 Na.upf
Mg 24.30 Mg.upf
Tl 204.38 Tl.upf
ATOMIC_POSITIONS angstrom
Na 1.942 8.597 0.000
Na 1.942 -8.597 0.000
Mg 1.942 12.388 0.000
Mg 1.942 0.000 1.757
Mg 1.942 -12.388 0.000
Tl 1.942 3.441 1.757
Tl 1.942 -3.441 1.757
CELL_PARAMETERS angstrom
1.942 -14.097 0.000
1.942 14.097 0.000
0.000 0.000 3.514